Density functional theory data (GGA-PBE) for a geometry-optimized AcThTaN3 structure.

a b c (Å): 3.646 7.894 8.104
angles (deg): 95.60 90.00 90.00
Fractional coordinates of all 12 atoms:
N1 0.750 0.406 0.116
N2 0.250 0.135 0.836
N3 0.750 0.160 0.485
N4 0.250 0.840 0.515
N5 0.250 0.594 0.884
N6 0.750 0.865 0.164
Ta1 0.250 0.111 0.589
Ta2 0.750 0.889 0.411
Ac1 0.750 0.842 0.840
Ac2 0.250 0.158 0.160
Th1 0.250 0.620 0.169
Th2 0.750 0.380 0.831

Output
space group: P2_1/m (11)
total energy: -9.09 eV per atom
D(E_F): 2.78 states/eV/f.u.